P) The following is a DFT calculation (PBE) of a relaxed structure of CsTlHg2Sb.

The calculated volume comes out at 44.4 A^3/atom.

It has space group P4/mmm (No. 123), with a = 6.175 Å, b = 6.175 Å, c = 5.823 Å, α = 90.00°, β = 90.00° and γ = 90.00°. The distinct sites, in fractional coordinates, are Cs at (0.000, 0.000, 0.000), Tl at (0.500, 0.500, 0.500), Hg at (0.000, 0.500, 0.500) and Sb at (0.500, 0.500, 0.000).


Q) The following is a DFT calculation (PBE) of a relaxed structure of CsTlHg2Sb.

The calculated volume comes out at 35.5 A^3/atom.

It has space group Imm2 (No. 44), with a = 5.111 Å, b = 5.452 Å, c = 12.732 Å, α = 90.00°, β = 90.00° and γ = 90.00°. The distinct sites, in fractional coordinates, are Cs at (0.000, 0.000, 0.000), Tl at (0.000, 0.500, 0.742), Hg at (0.000, 0.000, 0.613), Hg at (0.000, 0.500, 0.248) and Sb at (0.000, 0.000, 0.382).


Result of the stability comparison: P) is the least stable of them.


P) The following is a DFT calculation (PBE) of a relaxed structure of CsScHg2.

The calculated volume comes out at 32.3 A^3/atom.

It has space group Fm-3m (No. 225), with a = 8.028 Å, b = 8.028 Å, c = 8.028 Å, α = 90.00°, β = 90.00° and γ = 90.00°. The distinct sites, in fractional coordinates, are Cs at (0.000, 0.000, 0.000), Sc at (0.000, 0.000, 0.500) and Hg at (0.250, 0.250, 0.250).


Q) The following is a DFT calculation (PBE) of a relaxed structure of CsScHg2.

The calculated volume comes out at 30.3 A^3/atom.

It has space group P4/mmm (No. 123), with a = 3.679 Å, b = 3.679 Å, c = 8.949 Å, α = 90.00°, β = 90.00° and γ = 90.00°. The distinct sites, in fractional coordinates, are Cs at (0.000, 0.000, 0.000), Sc at (0.000, 0.000, 0.500) and Hg at (0.500, 0.500, 0.322).


R) The following is a DFT calculation (PBE) of a relaxed structure of CsScHg2.

The calculated volume comes out at 45.6 A^3/atom.

It has space group I-42d (No. 122), with a = 6.153 Å, b = 6.153 Å, c = 19.276 Å, α = 90.00°, β = 90.00° and γ = 90.00°. The distinct sites, in fractional coordinates, are Cs at (0.000, 0.000, 0.000), Sc at (0.000, 0.000, 0.500) and Hg at (0.020, 0.250, 0.625).


Result of the stability comparison: P) is the least stable of them.


P) The following is a DFT calculation (PBE) of a relaxed structure of CsScHg3.

The calculated volume comes out at 56.9 A^3/atom.

It has space group Pm-3m (No. 221), with a = 6.579 Å, b = 6.579 Å, c = 6.579 Å, α = 90.00°, β = 90.00° and γ = 90.00°. The distinct sites, in fractional coordinates, are Cs at (0.000, 0.000, 0.000), Sc at (0.500, 0.500, 0.500) and Hg at (0.000, 0.000, 0.500).


Q) The following is a DFT calculation (PBE) of a relaxed structure of CsScHg3.

The calculated volume comes out at 38.3 A^3/atom.

It has space group Pm-3m (No. 221), with a = 5.764 Å, b = 5.764 Å, c = 5.764 Å, α = 90.00°, β = 90.00° and γ = 90.00°. The distinct sites, in fractional coordinates, are Cs at (0.000, 0.000, 0.000), Sc at (0.500, 0.500, 0.500) and Hg at (0.000, 0.500, 0.500).


Result of the stability comparison: P) is the least stable of them.


P) The following is a DFT calculation (PBE) of a relaxed structure of Cs2HgSe.

The calculated volume comes out at 41.7 A^3/atom.

It has space group Fm-3m (No. 225), with a = 8.741 Å, b = 8.741 Å, c = 8.741 Å, α = 90.00°, β = 90.00° and γ = 90.00°. The distinct sites, in fractional coordinates, are Cs at (0.250, 0.250, 0.250), Hg at (0.000, 0.000, 0.000) and Se at (0.000, 0.000, 0.500).


Q) The following is a DFT calculation (PBE) of a relaxed structure of Cs2HgSe.

The calculated volume comes out at 75.9 A^3/atom.

It has space group I-42d (No. 122), with a = 8.049 Å, b = 8.049 Å, c = 18.733 Å, α = 90.00°, β = 90.00° and γ = 90.00°. The distinct sites, in fractional coordinates, are Cs at (0.175, 0.250, 0.125), Hg at (0.000, 0.000, 0.500) and Se at (0.000, 0.000, 0.000).


R) The following is a DFT calculation (PBE) of a relaxed structure of Cs2HgSe.

The calculated volume comes out at 55.9 A^3/atom.

It has space group R3m (No. 160, hexagonal axes), with a = 5.7176 Å, b = 5.7176 Å, c = 23.6772 Å, α = 90.00°, β = 90.00° and γ = 120.00°. The distinct sites, in fractional coordinates, are Cs at (0.0000, 0.0000, 0.0000), Cs at (0.0000, 0.0000, 0.2099), Hg at (0.0000, 0.0000, 0.4660) and Se at (0.0000, 0.0000, 0.5950).


Result of the stability comparison: Q) is the least stable of them.


P) The following is a DFT calculation (PBE) of a relaxed structure of Cs2HgSe.

The calculated volume comes out at 109.3 A^3/atom.

It has space group Immm (No. 71), with a = 7.876 Å, b = 8.046 Å, c = 13.793 Å, α = 90.00°, β = 90.00° and γ = 90.00°. The distinct sites, in fractional coordinates, are Cs at (0.000, 0.000, 0.226), Hg at (0.000, 0.000, 0.500) and Se at (0.000, 0.000, 0.000).


Q) The following is a DFT calculation (PBE) of a relaxed structure of Cs2HgSe.

The calculated volume comes out at 41.8 A^3/atom.

It has space group P4/mmm (No. 123), with a = 5.891 Å, b = 5.891 Å, c = 4.818 Å, α = 90.00°, β = 90.00° and γ = 90.00°. The distinct sites, in fractional coordinates, are Cs at (0.000, 0.500, 0.000), Hg at (0.000, 0.000, 0.500) and Se at (0.500, 0.500, 0.500).


Result of the stability comparison: P) is the least stable of them.


P) The following is a DFT calculation (PBE) of a relaxed structure of Cs2Hg2Se.

The calculated volume comes out at 49.0 A^3/atom.

It has space group I4/mmm (No. 139), with a = 7.159 Å, b = 7.159 Å, c = 9.557 Å, α = 90.00°, β = 90.00° and γ = 90.00°. The distinct sites, in fractional coordinates, are Cs at (0.000, 0.500, 0.250), Hg at (0.000, 0.000, 0.182) and Se at (0.000, 0.000, 0.500).


Q) The following is a DFT calculation (PBE) of a relaxed structure of Cs2Hg2Se.

The calculated volume comes out at 51.8 A^3/atom.

It has space group P4/mbm (No. 127), with a = 9.089 Å, b = 9.089 Å, c = 6.267 Å, α = 90.00°, β = 90.00° and γ = 90.00°. The distinct sites, in fractional coordinates, are Cs at (0.160, 0.340, 0.000), Hg at (0.146, 0.646, 0.500) and Se at (0.000, 0.000, 0.000).


R) The following is a DFT calculation (PBE) of a relaxed structure of Cs2Hg2Se.

The calculated volume comes out at 41.0 A^3/atom.

It has space group P4/mbm (No. 127), with a = 8.768 Å, b = 8.768 Å, c = 5.327 Å, α = 90.00°, β = 90.00° and γ = 90.00°. The distinct sites, in fractional coordinates, are Cs at (0.183, 0.317, 0.000), Hg at (0.128, 0.628, 0.500) and Se at (0.000, 0.000, 0.500).


Result of the stability comparison: Q) is the least stable of them.